BeTcP2S | PBE | optimized geometry

Cell lengths 4.4481, 4.4481, 5.1480 Å; angles 90.00, 90.00, 90.00 degrees
Last column: nearest neighbours and their distance in Å.
Space group P4/mmm (No. 123)
One atom of each set of equivalent atoms:
Be  0.0000  0.0000  0.0000 x1  4 S 3.15, 8 P 3.40
Tc  0.5000  0.5000  0.5000 x1  4 P 2.22
P  0.0000  0.5000  0.5000 x2  2 Tc 2.22
S  0.5000  0.5000  0.0000 x1  2 Tc 2.57

Raw formation energy, eV/atom: 0.8862
VASP energy, eV per atom: -4.922
Crystal system: tetragonal

---

Be2TlCo | PBE | optimized geometry

Cell lengths 5.8990, 5.8990, 5.8990 Å; angles 90.00, 90.00, 90.00 degrees
Last column: nearest neighbours and their distance in Å.
Space group F-43m (No. 216)
One atom of each set of equivalent atoms:
Be  0.0000  0.0000  0.0000 x4  4 Tl 2.55, 4 Be 2.55
Be  0.2500  0.2500  0.2500 x4  4 Co 2.55, 4 Be 2.55
Tl  0.2500  0.2500  0.7500 x4  4 Co 2.55, 4 Be 2.55
Co  0.0000  0.0000  0.5000 x4  4 Tl 2.55, 4 Be 2.55

VASP energy, eV per atom: -3.662
Formation energy from the elements, eV per atom: 0.569
Crystal system: cubic

---

Ca8Ga2Sn | PBE | optimized geometry

Cell lengths 5.1915, 8.3285, 15.7432 Å; angles 90.00, 90.00, 90.00 degrees
Last column: nearest neighbours and their distance in Å.
Space group Immm (No. 71)
One atom of each set of equivalent atoms:
Ca  0.0000  0.0000  0.1496 x4  8 Ca 3.47-3.51, 2 Sn 3.51, 2 Ga 3.64
Ca  0.0000  0.2167  0.3391 x8  3 Ga 3.19-3.34, 1 Sn 3.46, 3 Ca 3.49-3.51
Ca  0.0000  0.3063  0.0000 x4  3 Ca 3.23-3.47, 2 Ga 3.38
Ga  0.0000  0.5000  0.1886 x4  8 Ca 3.19-3.38
Sn  0.0000  0.5000  0.5000 x2  12 Ca 3.46-3.64

VASP energy, eV per atom: -2.675
Formation energy from the elements, eV per atom: -0.305
Crystal system: orthorhombic

---

Sn2MoAs | PBE | optimized geometry

Cell lengths 6.4019, 6.4019, 12.0265 Å; angles 90.00, 90.00, 90.00 degrees
Last column: nearest neighbours and their distance in Å.
Space group I-42d (No. 122)
One atom of each set of equivalent atoms:
Sn  0.2485  0.2500  0.1250 x8  2 Mo 2.71, 2 As 2.72
Mo  0.0000  0.0000  0.0000 x4  4 Sn 2.71
As  0.0000  0.0000  0.5000 x4  4 Sn 2.72

VASP energy, eV per atom: -5.094
Formation energy from the elements, eV per atom: 0.777
Crystal system: tetragonal

---

Tl3InPb2 | PBE | optimized geometry

Cell lengths 6.4176, 17.9925, 3.3169 Å; angles 90.00, 90.00, 90.00 degrees
Last column: nearest neighbours and their distance in Å.
Space group Cmmm (No. 65)
One atom of each set of equivalent atoms:
Tl  0.0000  0.0000  0.0000 x2  2 In 3.21, 2 Tl 3.32, 4 Pb 3.48
Tl  0.0000  0.3481  0.5000 x4  2 In 3.20, 3 Pb 3.20-3.23, 2 Tl 3.32
In  0.0000  0.5000  0.0000 x2  6 Tl 3.20-3.21, 2 In 3.32
Pb  0.0000  0.1703  0.5000 x4  5 Tl 3.20-3.48, 2 Pb 3.32

VASP energy, eV per atom: -2.753
Formation energy from the elements, eV per atom: 0.122
Crystal system: orthorhombic

---

Tb5In4Cu | PBE | optimized geometry

Cell lengths 3.5588, 3.5588, 20.3721 Å; angles 90.00, 90.00, 90.00 degrees
Last column: nearest neighbours and their distance in Å.
Space group P4/mmm (No. 123)
One atom of each set of equivalent atoms:
Tb  0.0000  0.0000  0.0000 x1  8 In 3.29, 4 Tb 3.56
Tb  0.0000  0.0000  0.2084 x2  8 In 3.29, 4 Tb 3.56
Tb  0.0000  0.0000  0.4163 x2  4 Cu 3.04, 4 In 3.29
In  0.5000  0.5000  0.1042 x2  8 Tb 3.29, 4 In 3.56
In  0.5000  0.5000  0.3126 x2  8 Tb 3.29, 4 In 3.56
Cu  0.5000  0.5000  0.5000 x1  8 Tb 3.04

VASP energy, eV per atom: -4.252
Formation energy from the elements, eV per atom: -0.432
Crystal system: tetragonal

---

> The highest VASP energy belongs to which entry?

Ca8Ga2Sn

---

> Which of these has the highest VASP energy?

Ca8Ga2Sn

---

> Which of these has the highest VASP energy?

Ca8Ga2Sn

---

> Number 3 is which compound?

Ca8Ga2Sn